(1)
Computed, not measured: a relaxed structure of MnSbS2N at the PBE level of DFT.

Summary:
Uncorrected formation energy, meV per atom: 805
Mass density, Mg/m³: 4.23
E, eV per atom: -5.17
Energy above the lowest structure with this stoichiometry, meV per atom: 675

```
data_MnSbS2N
_chemical_formula_sum 'Mn1 Sb1 S2 N1'
_cell_length_a 5.0727
_cell_length_b 5.0727
_cell_length_c 3.8872
_cell_angle_alpha 90.00
_cell_angle_beta 90.00
_cell_angle_gamma 90.00
_space_group_name_H-M_alt 'P 4/m m m'
_space_group_IT_number 123
_space_group_name_Hall '-P 4 2'
loop_
_atom_site_label
_atom_site_fract_x
_atom_site_fract_y
_atom_site_fract_z
Mn1 0.0000 0.0000 0.0000
Sb1 0.5000 0.5000 0.5000
S1 0.0000 0.5000 0.5000
N1 0.5000 0.5000 0.0000
```

---

(2)
Computed, not measured: a relaxed structure of ScMnS2N at the PBE level of DFT.

Summary:
Uncorrected formation energy, meV per atom: 80
Mass density, Mg/m³: 2.94
E, eV per atom: -6.34
Energy above the lowest structure with this stoichiometry, meV per atom: 609

```
data_ScMnS2N
_chemical_formula_sum 'Sc1 Mn1 S2 N1'
_cell_length_a 4.9599
_cell_length_b 4.9599
_cell_length_c 4.0897
_cell_angle_alpha 90.00
_cell_angle_beta 90.00
_cell_angle_gamma 90.00
_space_group_name_H-M_alt 'P 4/m m m'
_space_group_IT_number 123
_space_group_name_Hall '-P 4 2'
loop_
_atom_site_label
_atom_site_fract_x
_atom_site_fract_y
_atom_site_fract_z
Sc1 0.0000 0.0000 0.0000
Mn1 0.5000 0.5000 0.5000
S1 0.0000 0.5000 0.0000
N1 0.0000 0.0000 0.5000
```

---

(3)
Computed, not measured: a relaxed structure of ScMnS2N at the PBE level of DFT.

Summary:
Uncorrected formation energy, meV per atom: -529
Mass density, Mg/m³: 3.89
E, eV per atom: -6.95
Energy above the lowest structure with this stoichiometry, meV per atom: 0

```
data_ScMnS2N
_chemical_formula_sum 'Sc1 Mn1 S2 N1'
_cell_length_a 4.6631
_cell_length_b 4.6631
_cell_length_c 3.4963
_cell_angle_alpha 90.00
_cell_angle_beta 90.00
_cell_angle_gamma 90.00
_space_group_name_H-M_alt 'P 4/m m m'
_space_group_IT_number 123
_space_group_name_Hall '-P 4 2'
loop_
_atom_site_label
_atom_site_fract_x
_atom_site_fract_y
_atom_site_fract_z
Sc1 0.0000 0.0000 0.0000
Mn1 0.5000 0.5000 0.5000
S1 0.0000 0.5000 0.5000
N1 0.5000 0.5000 0.0000
```

---

(4)
Computed, not measured: a relaxed structure of MnSeSN at the PBE level of DFT.

Summary:
Uncorrected formation energy, meV per atom: 260
Mass density, Mg/m³: 3.75
E, eV per atom: -6.02
Energy above the lowest structure with this stoichiometry, meV per atom: 237

```
data_MnSeSN
_chemical_formula_sum 'Mn1 Se1 S1 N1'
_cell_length_a 2.9489
_cell_length_b 4.8001
_cell_length_c 5.9165
_cell_angle_alpha 90.04
_cell_angle_beta 90.52
_cell_angle_gamma 107.73
_space_group_name_H-M_alt 'P 1'
_space_group_IT_number 1
_space_group_name_Hall 'P 1'
loop_
_atom_site_label
_atom_site_fract_x
_atom_site_fract_y
_atom_site_fract_z
Mn1 0.0000 0.0000 0.0000
Se1 0.8056 0.6027 0.2378
S1 0.4935 0.9961 0.7432
N1 0.1617 0.3215 0.1464
```